Record 1
Compound: MnZnP2O7
Source: Alexandria
Functional: meta-GGA SCAN
Structure: single point on PBEsol structure

Cell and atoms, written as CIF:
```
data_MnZnP2O7
_chemical_formula_sum 'Mn2 Zn2 P4 O14'
_cell_length_a 5.341
_cell_length_b 6.482
_cell_length_c 7.437
_cell_angle_alpha 80.61
_cell_angle_beta 84.86
_cell_angle_gamma 72.62
_symmetry_space_group_name_H-M 'P -1'
_symmetry_Int_Tables_number 2
_symmetry_space_group_name_Hall '-P 1'
loop_
_atom_site_label
_atom_site_type_symbol
_atom_site_fract_x
_atom_site_fract_y
_atom_site_fract_z
_atom_site_occupancy
Mn1 Mn 0.200 0.344 0.341 1
Zn1 Zn 0.182 0.847 0.851 1
P1 P 0.280 0.311 0.896 1
P2 P 0.285 0.815 0.414 1
O1 O 0.113 0.151 0.924 1
O2 O 0.117 0.547 0.836 1
O3 O 0.128 0.044 0.330 1
O4 O 0.134 0.646 0.428 1
O5 O 0.407 0.812 0.594 1
O6 O 0.445 0.288 0.060 1
O7 O 0.465 0.254 0.721 1
```

ΔE_f (raw): -2.319 eV per atom
energy: -11.06 eV/atom

***

Record 2
Compound: Ti3GeW
Source: Alexandria
Functional: meta-GGA SCAN
Structure: single point on PBEsol structure

Cell and atoms, written as CIF:
```
data_Ti3GeW
_chemical_formula_sum 'Ti3 Ge1 W1'
_cell_length_a 4.699
_cell_length_b 4.699
_cell_length_c 4.699
_cell_angle_alpha 90.00
_cell_angle_beta 90.00
_cell_angle_gamma 90.00
_symmetry_space_group_name_H-M 'P m -3 m'
_symmetry_Int_Tables_number 221
_symmetry_space_group_name_Hall '-P 4 2 3'
loop_
_atom_site_label
_atom_site_type_symbol
_atom_site_fract_x
_atom_site_fract_y
_atom_site_fract_z
_atom_site_occupancy
Ti1 Ti 0.000 0.000 0.500 1
Ge1 Ge 0.500 0.500 0.500 1
W1 W 0.000 0.000 0.000 1
```

energy of formation: 0.850 eV/atom
energy: -26.52 eV/atom

***

Record 3
Compound: SbBrCl2
Source: Alexandria
Functional: meta-GGA SCAN
Structure: single point on PBEsol structure

Cell and atoms, written as CIF:
```
data_SbBrCl2
_chemical_formula_sum 'Sb4 Br4 Cl8'
_cell_length_a 6.980
_cell_length_b 6.980
_cell_length_c 6.980
_cell_angle_alpha 90.00
_cell_angle_beta 90.00
_cell_angle_gamma 90.00
_symmetry_space_group_name_H-M 'F -4 3 m'
_symmetry_Int_Tables_number 216
_symmetry_space_group_name_Hall 'F -4 2 3'
loop_
_atom_site_label
_atom_site_type_symbol
_atom_site_fract_x
_atom_site_fract_y
_atom_site_fract_z
_atom_site_occupancy
Sb1 Sb 0.000 0.000 0.000 1
Br1 Br 0.250 0.250 0.750 1
Cl1 Cl 0.000 0.000 0.500 1
Cl2 Cl 0.250 0.250 0.250 1
```

ΔE_f (raw): -0.185 eV per atom
energy: -18.35 eV/atom
energy above the lowest structure with this stoichiometry: 2.24 eV per formula unit

***

Record 4
Compound: Ba2TlCo
Source: Alexandria
Functional: meta-GGA SCAN
Structure: single point on PBEsol structure

Cell and atoms, written as CIF:
```
data_Ba2TlCo
_chemical_formula_sum 'Ba4 Tl2 Co2'
_cell_length_a 3.839
_cell_length_b 5.621
_cell_length_c 11.179
_cell_angle_alpha 90.00
_cell_angle_beta 90.00
_cell_angle_gamma 90.00
_symmetry_space_group_name_H-M 'I m m 2'
_symmetry_Int_Tables_number 44
_symmetry_space_group_name_Hall 'I 2 -2'
loop_
_atom_site_label
_atom_site_type_symbol
_atom_site_fract_x
_atom_site_fract_y
_atom_site_fract_z
_atom_site_occupancy
Ba1 Ba 0.000 0.000 0.000 1
Ba2 Ba 0.000 0.500 0.184 1
Tl1 Tl 0.000 0.500 0.793 1
Co1 Co 0.000 0.000 0.448 1
```

energy of formation: 0.010 eV/atom
energy: -42.18 eV/atom

***

Record 5
Compound: Rb2BeNi2
Source: Alexandria
Functional: meta-GGA SCAN
Structure: single point on PBEsol structure

Cell and atoms, written as CIF:
```
data_Rb2BeNi2
_chemical_formula_sum 'Rb4 Be2 Ni4'
_cell_length_a 6.337
_cell_length_b 6.337
_cell_length_c 6.451
_cell_angle_alpha 90.00
_cell_angle_beta 90.00
_cell_angle_gamma 90.00
_symmetry_space_group_name_H-M 'I 4/m m m'
_symmetry_Int_Tables_number 139
_symmetry_space_group_name_Hall '-I 4 2'
loop_
_atom_site_label
_atom_site_type_symbol
_atom_site_fract_x
_atom_site_fract_y
_atom_site_fract_z
_atom_site_occupancy
Rb1 Rb 0.000 0.500 0.250 1
Be1 Be 0.000 0.000 0.000 1
Ni1 Ni 0.000 0.000 0.318 1
```

energy of formation: 0.944 eV/atom
energy: -14.69 eV/atom

***

Record 6
Compound: TiAuS2N
Source: Alexandria
Functional: meta-GGA SCAN
Structure: single point on PBEsol structure

Cell and atoms, written as CIF:
```
data_TiAuS2N
_chemical_formula_sum 'Ti1 Au1 S2 N1'
_cell_length_a 4.894
_cell_length_b 4.894
_cell_length_c 3.696
_cell_angle_alpha 90.00
_cell_angle_beta 90.00
_cell_angle_gamma 90.00
_symmetry_space_group_name_H-M 'P 4/m m m'
_symmetry_Int_Tables_number 123
_symmetry_space_group_name_Hall '-P 4 2'
loop_
_atom_site_label
_atom_site_type_symbol
_atom_site_fract_x
_atom_site_fract_y
_atom_site_fract_z
_atom_site_occupancy
Ti1 Ti 0.000 0.000 0.000 1
Au1 Au 0.500 0.500 0.500 1
S1 S 0.000 0.500 0.500 1
N1 N 0.500 0.500 0.000 1
```

ΔE_f (raw): 0.695 eV per atom
energy: -22.05 eV/atom

***

Record 7
Compound: MnCd2CoHg
Source: Alexandria
Functional: meta-GGA SCAN
Structure: single point on PBEsol structure

Cell and atoms, written as CIF:
```
data_MnCd2CoHg
_chemical_formula_sum 'Mn1 Cd2 Co1 Hg1'
_cell_length_a 4.901
_cell_length_b 4.901
_cell_length_c 4.274
_cell_angle_alpha 90.00
_cell_angle_beta 90.00
_cell_angle_gamma 90.00
_symmetry_space_group_name_H-M 'P 4/m m m'
_symmetry_Int_Tables_number 123
_symmetry_space_group_name_Hall '-P 4 2'
loop_
_atom_site_label
_atom_site_type_symbol
_atom_site_fract_x
_atom_site_fract_y
_atom_site_fract_z
_atom_site_occupancy
Mn1 Mn 0.000 0.000 0.000 1
Cd1 Cd 0.000 0.500 0.500 1
Co1 Co 0.000 0.000 0.500 1
Hg1 Hg 0.500 0.500 0.000 1
```

energy of formation: 0.498 eV/atom
energy: -32.41 eV/atom

***

Record 8
Compound: ZrAg3Hg
Source: Alexandria
Functional: meta-GGA SCAN
Structure: single point on PBEsol structure

Cell and atoms, written as CIF:
```
data_ZrAg3Hg
_chemical_formula_sum 'Zr1 Ag3 Hg1'
_cell_length_a 4.974
_cell_length_b 4.974
_cell_length_c 4.974
_cell_angle_alpha 90.00
_cell_angle_beta 90.00
_cell_angle_gamma 90.00
_symmetry_space_group_name_H-M 'P m -3 m'
_symmetry_Int_Tables_number 221
_symmetry_space_group_name_Hall '-P 4 2 3'
loop_
_atom_site_label
_atom_site_type_symbol
_atom_site_fract_x
_atom_site_fract_y
_atom_site_fract_z
_atom_site_occupancy
Zr1 Zr 0.000 0.000 0.000 1
Ag1 Ag 0.000 0.500 0.500 1
Hg1 Hg 0.500 0.500 0.500 1
```

energy of formation: 0.917 eV/atom
energy: -37.68 eV/atom